[1]
Material: CaDyIn4O8
Method: DFT, GGA-PBE
State: optimized geometry

## Properties
E_form (uncorrected)   -2042 meV/atom
Crystal system   trigonal

```
data_CaDyIn4O8
_chemical_formula_sum 'Ca1 Dy1 In4 O8'
_cell_length_a 6.7264
_cell_length_b 6.7264
_cell_length_c 6.7264
_cell_angle_alpha 59.39
_cell_angle_beta 59.39
_cell_angle_gamma 59.39
_space_group_name_H-M_alt 'P 1'
_space_group_IT_number 1
_space_group_name_Hall 'P 1'
loop_
_atom_site_label
_atom_site_fract_x
_atom_site_fract_y
_atom_site_fract_z
Ca1 0.0000 0.0000 0.0000
Dy1 0.6258 0.6258 0.6258
In1 0.1206 0.6254 0.6254
In2 0.2492 0.2492 0.2492
In3 0.6254 0.1206 0.6254
In4 0.6254 0.6254 0.1206
O1 0.3804 0.3804 0.8452
O2 0.3804 0.8452 0.3804
O3 0.3871 0.3871 0.3871
O4 0.4132 0.8634 0.8634
O5 0.8452 0.3804 0.3804
O6 0.8598 0.8598 0.8598
O7 0.8634 0.4132 0.8634
O8 0.8634 0.8634 0.4132
```



[2]
Material: CaPmDyIn
Method: DFT, GGA-PBE
State: optimized geometry

## Properties
Energy of formation from the pure elements   -160 meV/atom
Crystal system   cubic

```
data_CaPmDyIn
_chemical_formula_sum 'Ca1 Pm1 Dy1 In1'
_cell_length_a 5.5410
_cell_length_b 5.5410
_cell_length_c 5.5410
_cell_angle_alpha 60.00
_cell_angle_beta 60.00
_cell_angle_gamma 60.00
_space_group_name_H-M_alt 'P 1'
_space_group_IT_number 1
_space_group_name_Hall 'P 1'
loop_
_atom_site_label
_atom_site_fract_x
_atom_site_fract_y
_atom_site_fract_z
Ca1 0.0000 0.0000 0.0000
Pm1 0.2500 0.2500 0.2500
Dy1 0.7500 0.7500 0.7500
In1 0.5000 0.5000 0.5000
```



[3]
Material: CaDyInPt
Method: DFT, GGA-PBE
State: optimized geometry

## Properties
Energy of formation from the pure elements   -688 meV/atom
Crystal system   cubic

```
data_CaDyInPt
_chemical_formula_sum 'Ca1 Dy1 In1 Pt1'
_cell_length_a 5.1326
_cell_length_b 5.1326
_cell_length_c 5.1326
_cell_angle_alpha 60.00
_cell_angle_beta 60.00
_cell_angle_gamma 60.00
_space_group_name_H-M_alt 'P 1'
_space_group_IT_number 1
_space_group_name_Hall 'P 1'
loop_
_atom_site_label
_atom_site_fract_x
_atom_site_fract_y
_atom_site_fract_z
Ca1 0.0000 0.0000 0.0000
Dy1 0.5000 0.5000 0.5000
In1 0.7500 0.7500 0.7500
Pt1 0.2500 0.2500 0.2500
```



[4]
Material: CaDyInRh
Method: DFT, GGA-PBE
State: optimized geometry

## Properties
Energy of formation from the pure elements   -439 meV/atom
Crystal system   cubic

```
data_CaDyInRh
_chemical_formula_sum 'Ca1 Dy1 In1 Rh1'
_cell_length_a 5.0990
_cell_length_b 5.0990
_cell_length_c 5.0990
_cell_angle_alpha 60.00
_cell_angle_beta 60.00
_cell_angle_gamma 60.00
_space_group_name_H-M_alt 'P 1'
_space_group_IT_number 1
_space_group_name_Hall 'P 1'
loop_
_atom_site_label
_atom_site_fract_x
_atom_site_fract_y
_atom_site_fract_z
Ca1 0.0000 0.0000 0.0000
Dy1 0.5000 0.5000 0.5000
In1 0.7500 0.7500 0.7500
Rh1 0.2500 0.2500 0.2500
```



[5]
Material: CaDy2InRh4
Method: DFT, GGA-PBE
State: optimized geometry

## Properties
Energy of formation from the pure elements   -677 meV/atom
Crystal system   trigonal

```
data_CaDy2InRh4
_chemical_formula_sum 'Ca1 Dy2 In1 Rh4'
_cell_length_a 8.2648
_cell_length_b 8.2648
_cell_length_c 8.2648
_cell_angle_alpha 33.47
_cell_angle_beta 33.47
_cell_angle_gamma 33.47
_space_group_name_H-M_alt 'P 1'
_space_group_IT_number 1
_space_group_name_Hall 'P 1'
loop_
_atom_site_label
_atom_site_fract_x
_atom_site_fract_y
_atom_site_fract_z
Ca1 0.0000 0.0000 0.0000
Dy1 0.2473 0.2473 0.2473
Dy2 0.7527 0.7527 0.7527
In1 0.5000 0.5000 0.5000
Rh1 0.1272 0.1272 0.1272
Rh2 0.3784 0.3784 0.3784
Rh3 0.6216 0.6216 0.6216
Rh4 0.8728 0.8728 0.8728
```



[6]
Material: CaDyScIn
Method: DFT, GGA-PBE
State: optimized geometry

## Properties
Energy of formation from the pure elements   -103 meV/atom
Crystal system   cubic

```
data_CaDyScIn
_chemical_formula_sum 'Ca1 Dy1 Sc1 In1'
_cell_length_a 5.3617
_cell_length_b 5.3617
_cell_length_c 5.3617
_cell_angle_alpha 60.00
_cell_angle_beta 60.00
_cell_angle_gamma 60.00
_space_group_name_H-M_alt 'P 1'
_space_group_IT_number 1
_space_group_name_Hall 'P 1'
loop_
_atom_site_label
_atom_site_fract_x
_atom_site_fract_y
_atom_site_fract_z
Ca1 0.0000 0.0000 0.0000
Dy1 0.2500 0.2500 0.2500
Sc1 0.7500 0.7500 0.7500
In1 0.5000 0.5000 0.5000
```



[7]
Material: CaDyIn2Se4
Method: DFT, GGA-PBE
State: optimized geometry

## Properties
E_form (uncorrected)   -1194 meV/atom
Crystal system   monoclinic

```
data_CaDyIn2Se4
_chemical_formula_sum 'Ca1 Dy1 In2 Se4'
_cell_length_a 7.3609
_cell_length_b 4.1800
_cell_length_c 7.6245
_cell_angle_alpha 90.00
_cell_angle_beta 108.28
_cell_angle_gamma 90.00
_space_group_name_H-M_alt 'P 1'
_space_group_IT_number 1
_space_group_name_Hall 'P 1'
loop_
_atom_site_label
_atom_site_fract_x
_atom_site_fract_y
_atom_site_fract_z
Ca1 0.0000 0.0000 0.0000
Dy1 0.5000 0.5000 0.0000
In1 0.0000 0.5000 0.5000
In2 0.5000 0.0000 0.5000
Se1 0.2585 0.5000 0.2308
Se2 0.2725 0.0000 0.7771
Se3 0.7275 0.0000 0.2229
Se4 0.7415 0.5000 0.7692
```



[8]
Material: Ca2DyInSe5
Method: DFT, GGA-PBE
State: optimized geometry

## Properties
E_form (uncorrected)   -1508 meV/atom
Crystal system   orthorhombic

```
data_Ca2DyInSe5
_chemical_formula_sum 'Ca4 Dy2 In2 Se10'
_cell_length_a 9.2004
_cell_length_b 9.2004
_cell_length_c 12.9333
_cell_angle_alpha 90.00
_cell_angle_beta 90.00
_cell_angle_gamma 154.17
_space_group_name_H-M_alt 'P 1'
_space_group_IT_number 1
_space_group_name_Hall 'P 1'
loop_
_atom_site_label
_atom_site_fract_x
_atom_site_fract_y
_atom_site_fract_z
Ca1 0.1127 0.8873 0.5000
Ca2 0.1345 0.8655 0.1404
Ca3 0.8655 0.1345 0.6404
Ca4 0.8873 0.1127 0.0000
Dy1 0.2130 0.7870 0.8478
Dy2 0.7870 0.2130 0.3478
In1 0.4539 0.5461 0.2701
In2 0.5461 0.4539 0.7701
Se1 0.0498 0.9502 0.8935
Se2 0.2839 0.7161 0.5004
Se3 0.3113 0.6887 0.1931
Se4 0.3673 0.6327 0.8267
Se5 0.4925 0.5075 0.5892
Se6 0.5075 0.4925 0.0892
Se7 0.6327 0.3673 0.3267
Se8 0.6887 0.3113 0.6931
Se9 0.7161 0.2839 0.0004
Se10 0.9502 0.0498 0.3935
```



[9]
Material: CaSmDyIn
Method: DFT, GGA-PBE
State: optimized geometry

## Properties
Energy of formation from the pure elements   -155 meV/atom
Crystal system   cubic

```
data_CaSmDyIn
_chemical_formula_sum 'Ca1 Sm1 Dy1 In1'
_cell_length_a 5.5307
_cell_length_b 5.5307
_cell_length_c 5.5307
_cell_angle_alpha 60.00
_cell_angle_beta 60.00
_cell_angle_gamma 60.00
_space_group_name_H-M_alt 'P 1'
_space_group_IT_number 1
_space_group_name_Hall 'P 1'
loop_
_atom_site_label
_atom_site_fract_x
_atom_site_fract_y
_atom_site_fract_z
Ca1 0.0000 0.0000 0.0000
Sm1 0.2500 0.2500 0.2500
Dy1 0.7500 0.7500 0.7500
In1 0.5000 0.5000 0.5000
```



[10]
Material: CaSmDy2In4
Method: DFT, GGA-PBE
State: optimized geometry

## Properties
Energy of formation from the pure elements   -465 meV/atom
Crystal system   trigonal

```
data_CaSmDy2In4
_chemical_formula_sum 'Ca1 Sm1 Dy2 In4'
_cell_length_a 9.3334
_cell_length_b 9.3334
_cell_length_c 9.3334
_cell_angle_alpha 33.37
_cell_angle_beta 33.37
_cell_angle_gamma 33.37
_space_group_name_H-M_alt 'P 1'
_space_group_IT_number 1
_space_group_name_Hall 'P 1'
loop_
_atom_site_label
_atom_site_fract_x
_atom_site_fract_y
_atom_site_fract_z
Ca1 0.0000 0.0000 0.0000
Sm1 0.5000 0.5000 0.5000
Dy1 0.2519 0.2519 0.2519
Dy2 0.7481 0.7481 0.7481
In1 0.1253 0.1253 0.1253
In2 0.3753 0.3753 0.3753
In3 0.6247 0.6247 0.6247
In4 0.8747 0.8747 0.8747
```



[11]
Material: CaTbDyIn
Method: DFT, GGA-PBE
State: optimized geometry

## Properties
Energy of formation from the pure elements   -140 meV/atom
Crystal system   cubic

```
data_CaTbDyIn
_chemical_formula_sum 'Ca1 Tb1 Dy1 In1'
_cell_length_a 5.4981
_cell_length_b 5.4981
_cell_length_c 5.4981
_cell_angle_alpha 60.00
_cell_angle_beta 60.00
_cell_angle_gamma 60.00
_space_group_name_H-M_alt 'P 1'
_space_group_IT_number 1
_space_group_name_Hall 'P 1'
loop_
_atom_site_label
_atom_site_fract_x
_atom_site_fract_y
_atom_site_fract_z
Ca1 0.0000 0.0000 0.0000
Tb1 0.7500 0.7500 0.7500
Dy1 0.2500 0.2500 0.2500
In1 0.5000 0.5000 0.5000
```



[12]
Material: CaDyTlIn
Method: DFT, GGA-PBE
State: optimized geometry

## Properties
Energy of formation from the pure elements   -406 meV/atom
Crystal system   cubic

```
data_CaDyTlIn
_chemical_formula_sum 'Ca1 Dy1 Tl1 In1'
_cell_length_a 5.4076
_cell_length_b 5.4076
_cell_length_c 5.4076
_cell_angle_alpha 60.00
_cell_angle_beta 60.00
_cell_angle_gamma 60.00
_space_group_name_H-M_alt 'P 1'
_space_group_IT_number 1
_space_group_name_Hall 'P 1'
loop_
_atom_site_label
_atom_site_fract_x
_atom_site_fract_y
_atom_site_fract_z
Ca1 0.0000 0.0000 0.0000
Dy1 0.5000 0.5000 0.5000
Tl1 0.2500 0.2500 0.2500
In1 0.7500 0.7500 0.7500
```



[13]
Material: CaDyTm2In4
Method: DFT, GGA-PBE
State: optimized geometry

## Properties
Energy of formation from the pure elements   -435 meV/atom
Crystal system   trigonal

```
data_CaDyTm2In4
_chemical_formula_sum 'Ca1 Dy1 Tm2 In4'
_cell_length_a 9.2300
_cell_length_b 9.2300
_cell_length_c 9.2300
_cell_angle_alpha 33.44
_cell_angle_beta 33.44
_cell_angle_gamma 33.44
_space_group_name_H-M_alt 'P 1'
_space_group_IT_number 1
_space_group_name_Hall 'P 1'
loop_
_atom_site_label
_atom_site_fract_x
_atom_site_fract_y
_atom_site_fract_z
Ca1 0.0000 0.0000 0.0000
Dy1 0.5000 0.5000 0.5000
Tm1 0.2511 0.2511 0.2511
Tm2 0.7489 0.7489 0.7489
In1 0.1258 0.1258 0.1258
In2 0.3760 0.3760 0.3760
In3 0.6240 0.6240 0.6240
In4 0.8742 0.8742 0.8742
```



[14]
Material: CaDy2Zn2In2
Method: DFT, GGA-PBE
State: optimized geometry

## Properties
Energy of formation from the pure elements   -282 meV/atom
Crystal system   trigonal

```
data_CaDy2Zn2In2
_chemical_formula_sum 'Ca1 Dy2 Zn2 In2'
_cell_length_a 9.6956
_cell_length_b 9.6956
_cell_length_c 9.6956
_cell_angle_alpha 28.31
_cell_angle_beta 28.31
_cell_angle_gamma 28.31
_space_group_name_H-M_alt 'P 1'
_space_group_IT_number 1
_space_group_name_Hall 'P 1'
loop_
_atom_site_label
_atom_site_fract_x
_atom_site_fract_y
_atom_site_fract_z
Ca1 0.0000 0.0000 0.0000
Dy1 0.1290 0.1290 0.1290
Dy2 0.8710 0.8710 0.8710
Zn1 0.4132 0.4132 0.4132
Zn2 0.5868 0.5868 0.5868
In1 0.2582 0.2582 0.2582
In2 0.7418 0.7418 0.7418
```



[15]
Material: CaDyIr2
Method: DFT, GGA-PBE
State: optimized geometry

## Properties
Energy of formation from the pure elements   -497 meV/atom
Crystal system   tetragonal

```
data_CaDyIr2
_chemical_formula_sum 'Ca1 Dy1 Ir2'
_cell_length_a 3.4201
_cell_length_b 3.4201
_cell_length_c 6.8640
_cell_angle_alpha 90.00
_cell_angle_beta 90.00
_cell_angle_gamma 90.00
_space_group_name_H-M_alt 'P 1'
_space_group_IT_number 1
_space_group_name_Hall 'P 1'
loop_
_atom_site_label
_atom_site_fract_x
_atom_site_fract_y
_atom_site_fract_z
Ca1 0.0000 0.0000 0.0000
Dy1 0.0000 0.0000 0.5000
Ir1 0.5000 0.5000 0.2639
Ir2 0.5000 0.5000 0.7361
```



[16]
Material: CaDy2Ir9
Method: DFT, GGA-PBE
State: optimized geometry

## Properties
Energy of formation from the pure elements   -488 meV/atom
Crystal system   trigonal

```
data_CaDy2Ir9
_chemical_formula_sum 'Ca1 Dy2 Ir9'
_cell_length_a 9.2718
_cell_length_b 9.2718
_cell_length_c 9.2718
_cell_angle_alpha 33.38
_cell_angle_beta 33.38
_cell_angle_gamma 33.38
_space_group_name_H-M_alt 'P 1'
_space_group_IT_number 1
_space_group_name_Hall 'P 1'
loop_
_atom_site_label
_atom_site_fract_x
_atom_site_fract_y
_atom_site_fract_z
Ca1 0.0000 0.0000 0.0000
Dy1 0.1383 0.1383 0.1383
Dy2 0.8617 0.8617 0.8617
Ir1 0.0830 0.5818 0.5818
Ir2 0.3327 0.3327 0.3327
Ir3 0.4182 0.4182 0.9170
Ir4 0.4182 0.9170 0.4182
Ir5 0.5000 0.5000 0.5000
Ir6 0.5818 0.0830 0.5818
Ir7 0.5818 0.5818 0.0830
Ir8 0.6673 0.6673 0.6673
Ir9 0.9170 0.4182 0.4182
```



[17]
Material: CaDyIr2
Method: DFT, GGA-PBE
State: optimized geometry

## Properties
Energy of formation from the pure elements   -483 meV/atom
Crystal system   cubic

```
data_CaDyIr2
_chemical_formula_sum 'Ca1 Dy1 Ir2'
_cell_length_a 4.8245
_cell_length_b 4.8245
_cell_length_c 4.8245
_cell_angle_alpha 60.00
_cell_angle_beta 60.00
_cell_angle_gamma 60.00
_space_group_name_H-M_alt 'P 1'
_space_group_IT_number 1
_space_group_name_Hall 'P 1'
loop_
_atom_site_label
_atom_site_fract_x
_atom_site_fract_y
_atom_site_fract_z
Ca1 0.0000 0.0000 0.0000
Dy1 0.5000 0.5000 0.5000
Ir1 0.2500 0.2500 0.2500
Ir2 0.7500 0.7500 0.7500
```



[18]
Material: CaDy3Ir8
Method: DFT, GGA-PBE
State: optimized geometry

## Properties
Energy of formation from the pure elements   -731 meV/atom
Crystal system   trigonal

```
data_CaDy3Ir8
_chemical_formula_sum 'Ca1 Dy3 Ir8'
_cell_length_a 9.2875
_cell_length_b 9.2875
_cell_length_c 9.2875
_cell_angle_alpha 33.54
_cell_angle_beta 33.54
_cell_angle_gamma 33.54
_space_group_name_H-M_alt 'P 1'
_space_group_IT_number 1
_space_group_name_Hall 'P 1'
loop_
_atom_site_label
_atom_site_fract_x
_atom_site_fract_y
_atom_site_fract_z
Ca1 0.0000 0.0000 0.0000
Dy1 0.3729 0.3729 0.3729
Dy2 0.4991 0.4991 0.4991
Dy3 0.8762 0.8762 0.8762
Ir1 0.1871 0.1871 0.1871
Ir2 0.4370 0.4370 0.9353
Ir3 0.4370 0.9353 0.4370
Ir4 0.4386 0.9371 0.9371
Ir5 0.6870 0.6870 0.6870
Ir6 0.9353 0.4370 0.4370
Ir7 0.9371 0.4386 0.9371
Ir8 0.9371 0.9371 0.4386
```



[19]
Material: CaDy3Ir
Method: DFT, GGA-PBE
State: optimized geometry

## Properties
Energy of formation from the pure elements   -334 meV/atom
Crystal system   cubic

```
data_CaDy3Ir
_chemical_formula_sum 'Ca1 Dy3 Ir1'
_cell_length_a 5.4763
_cell_length_b 5.4763
_cell_length_c 5.4763
_cell_angle_alpha 90.00
_cell_angle_beta 90.00
_cell_angle_gamma 90.00
_space_group_name_H-M_alt 'P 1'
_space_group_IT_number 1
_space_group_name_Hall 'P 1'
loop_
_atom_site_label
_atom_site_fract_x
_atom_site_fract_y
_atom_site_fract_z
Ca1 0.0000 0.0000 0.0000
Dy1 0.0000 0.5000 0.5000
Dy2 0.5000 0.0000 0.5000
Dy3 0.5000 0.5000 0.0000
Ir1 0.5000 0.5000 0.5000
```



[20]
Material: LiCaDyIr
Method: DFT, GGA-PBE
State: optimized geometry

## Properties
Energy of formation from the pure elements   -388 meV/atom
Crystal system   cubic

```
data_LiCaDyIr
_chemical_formula_sum 'Li1 Ca1 Dy1 Ir1'
_cell_length_a 4.9384
_cell_length_b 4.9384
_cell_length_c 4.9384
_cell_angle_alpha 60.00
_cell_angle_beta 60.00
_cell_angle_gamma 60.00
_space_group_name_H-M_alt 'P 1'
_space_group_IT_number 1
_space_group_name_Hall 'P 1'
loop_
_atom_site_label
_atom_site_fract_x
_atom_site_fract_y
_atom_site_fract_z
Li1 0.0000 0.0000 0.0000
Ca1 0.7500 0.7500 0.7500
Dy1 0.2500 0.2500 0.2500
Ir1 0.5000 0.5000 0.5000
```